Below is crystalline PuScPb at its relaxed geometry, with properties calculated at the PBE-GGA level.

Values from the calculation:
- total magnetization (μB per cell) = 6.8
- DFT total energy (eV per cell) = -24.67
- crystal system = hexagonal
- energy relative to the elements (eV per atom) = -0.0990

abc: 5.162 5.162 3.517
angles: 90.00 90.00 120.00
Sites, in units of the cell vectors:
Pu 0.000 0.000 0.000
Sc 0.333 0.667 0.500
Pb 0.667 0.333 0.500



Below is crystalline SrLi8Mg3 at its relaxed geometry, with properties calculated at the PBE-GGA level.

Values from the calculation:
- total magnetization (μB per cell) = 0.0
- DFT total energy (eV per cell) = -21.78
- crystal system = trigonal
- energy relative to the elements (eV per atom) = -0.0002

abc: 5.732 5.732 9.520
angles: 90.00 90.00 120.00
Sites, in units of the cell vectors:
Sr 0.000 0.000 0.000
Li 0.165 0.330 0.671
Li 0.165 0.835 0.671
Li 0.333 0.667 0.433
Li 0.333 0.667 0.932
Li 0.505 0.009 0.208
Li 0.505 0.495 0.208
Li 0.670 0.835 0.671
Li 0.991 0.495 0.208
Mg 0.000 0.000 0.390
Mg 0.667 0.333 0.500
Mg 0.667 0.333 0.841



Below is crystalline Tb4DyMg7 at its relaxed geometry, with properties calculated at the PBE-GGA level.

Values from the calculation:
- total magnetization (μB per cell) = 0.0
- DFT total energy (eV per cell) = -34.59
- crystal system = trigonal
- energy relative to the elements (eV per atom) = -0.0251

abc: 5.302 5.302 13.248
angles: 90.00 90.00 120.00
Sites, in units of the cell vectors:
Tb 0.333 0.667 0.163
Tb 0.333 0.667 0.421
Tb 0.667 0.333 0.579
Tb 0.667 0.333 0.837
Dy 0.000 0.000 0.000
Mg 0.000 0.000 0.262
Mg 0.000 0.000 0.500
Mg 0.000 0.000 0.738
Mg 0.333 0.667 0.682
Mg 0.333 0.667 0.918
Mg 0.667 0.333 0.082
Mg 0.667 0.333 0.318



Below is crystalline CaRe2TePt at its relaxed geometry, with properties calculated at the PBE-GGA level.

Values from the calculation:
- total magnetization (μB per cell) = 2.6
- DFT total energy (eV per cell) = -29.16
- formation energy (no corrections) (eV per atom) = 1.3847
- crystal system = tetragonal

abc: 4.932 4.932 5.019
angles: 90.00 90.00 90.00
Sites, in units of the cell vectors:
Ca 0.000 0.000 0.000
Re 0.000 0.500 0.500
Re 0.500 0.000 0.500
Te 0.500 0.500 0.500
Pt 0.500 0.500 0.000



Below is crystalline HgBi3H4 at its relaxed geometry, with properties calculated at the PBE-GGA level.

Values from the calculation:
- total magnetization (μB per cell) = 0.0
- DFT total energy (eV per cell) = -44.61
- crystal system = monoclinic

abc: 10.223 5.408 7.407
angles: 90.00 113.43 90.00
Sites, in units of the cell vectors:
Hg 0.000 0.000 0.000
Hg 0.500 0.500 0.000
Bi 0.000 0.500 0.500
Bi 0.202 0.000 0.606
Bi 0.298 0.500 0.394
Bi 0.500 0.000 0.500
Bi 0.702 0.500 0.606
Bi 0.798 0.000 0.394
H 0.111 0.000 0.332
H 0.164 0.000 0.001
H 0.336 0.500 0.999
H 0.389 0.500 0.668
H 0.611 0.500 0.332
H 0.664 0.500 0.001
H 0.836 0.000 0.999
H 0.889 0.000 0.668



Below is crystalline SiBC2 at its relaxed geometry, with properties calculated at the PBE-GGA level.

Values from the calculation:
- total magnetization (μB per cell) = 0.0
- DFT total energy (eV per cell) = -29.20
- formation energy (no corrections) (eV per atom) = 0.3370
- crystal system = orthorhombic

abc: 2.608 2.890 4.531
angles: 90.00 90.00 90.00
Sites, in units of the cell vectors:
Si 0.000 0.000 0.000
B 0.500 0.000 0.651
C 0.000 0.500 0.268
C 0.500 0.500 0.461



Below is crystalline Ac6Ir2SI2 at its relaxed geometry, with properties calculated at the PBE-GGA level.

Values from the calculation:
- total magnetization (μB per cell) = 0.0
- DFT total energy (eV per cell) = -61.01
- formation energy (no corrections) (eV per atom) = -1.0375
- crystal system = monoclinic

abc: 7.666 7.666 8.571
angles: 98.34 98.34 118.05
Sites, in units of the cell vectors:
Ac 0.095 0.435 0.809
Ac 0.198 0.198 0.199
Ac 0.435 0.095 0.809
Ac 0.565 0.905 0.191
Ac 0.802 0.802 0.801
Ac 0.905 0.565 0.191
Ir 0.170 0.830 0.000
Ir 0.830 0.170 0.000
S 0.500 0.500 0.000
I 0.335 0.665 0.500
I 0.665 0.335 0.500



Below is crystalline NpPaPt3 at its relaxed geometry, with properties calculated at the PBE-GGA level.

Values from the calculation:
- total magnetization (μB per cell) = 8.8
- DFT total energy (eV per cell) = -86.19
- crystal system = orthorhombic
- energy relative to the elements (eV per atom) = -0.5071

abc: 8.689 8.689 5.173
angles: 90.00 90.00 144.16
Sites, in units of the cell vectors:
Np 0.044 0.956 0.750
Np 0.956 0.044 0.250
Pa 0.344 0.656 0.750
Pa 0.656 0.344 0.250
Pt 0.058 0.449 0.250
Pt 0.449 0.058 0.750
Pt 0.500 0.500 0.000
Pt 0.500 0.500 0.500
Pt 0.551 0.942 0.250
Pt 0.942 0.551 0.750



Below is crystalline SrZnTcSn2 at its relaxed geometry, with properties calculated at the PBE-GGA level.

Values from the calculation:
- total magnetization (μB per cell) = 0.0
- DFT total energy (eV per cell) = -21.90
- crystal system = tetragonal
- energy relative to the elements (eV per atom) = -0.1145

abc: 5.162 5.162 5.002
angles: 90.00 90.00 90.00
Sites, in units of the cell vectors:
Sr 0.000 0.000 0.000
Zn 0.500 0.500 0.000
Tc 0.500 0.500 0.500
Sn 0.000 0.500 0.500
Sn 0.500 0.000 0.500



Below is crystalline Mg2Sc2Ag3 at its relaxed geometry, with properties calculated at the PBE-GGA level.

Values from the calculation:
- total magnetization (μB per cell) = 0.0
- DFT total energy (eV per cell) = -51.25
- crystal system = monoclinic
- energy relative to the elements (eV per atom) = -0.1745

abc: 8.400 4.869 7.687
angles: 90.00 111.19 90.00
Sites, in units of the cell vectors:
Mg 0.132 0.000 0.393
Mg 0.368 0.500 0.607
Mg 0.632 0.500 0.393
Mg 0.868 0.000 0.607
Sc 0.111 0.500 0.833
Sc 0.389 0.000 0.167
Sc 0.611 0.000 0.833
Sc 0.889 0.500 0.167
Ag 0.000 0.000 0.000
Ag 0.244 0.500 0.230
Ag 0.256 0.000 0.770
Ag 0.500 0.500 0.000
Ag 0.744 0.000 0.230
Ag 0.756 0.500 0.770